Entry from Alexandria via LeMat-Bulk: DyYHo6 after structural relaxation (PBE-GGA).

Unit cell a=4.991 b=6.120 c=9.336 alpha=90.12 beta=105.45 gamma=114.04
Space group P-1 (No. 2)
Asymmetric unit:
1 Dy 0.000 0.000 0.000 x1
2 Y 0.500 0.500 0.500 x1
3 Ho 0.125 0.875 0.374 x2
4 Ho 0.251 0.751 0.751 x2
5 Ho 0.375 0.625 0.124 x2

Calculated values
For the density of states at the Fermi level, the calculation gives 1.31 states/eV/atom. The total magnetization comes out at 0.00 μB/cell. Its crystal system is triclinic. Its formation enthalpy at 0 K is 0.0193 eV/atom. Its distance to the lowest polymorph of the same formula is 0.00 eV per formula unit.